Entry from the Alexandria database: a geometry-optimized Be2BiPt structure (PBE).

Values from the calculation:
E_form: 98 kJ/mol of formula units
Space group: I-42d (122)

POSCAR file:
```
Be2BiPt
1.0
-2.842 2.842 5.026
2.842 -2.842 5.026
2.842 2.842 -5.026
Be Bi Pt
4 2 2
direct
0.056 0.625 0.931 Be
0.375 0.306 0.431 Be
0.694 0.125 0.069 Be
0.875 0.944 0.569 Be
0.250 0.750 0.500 Bi
0.500 0.500 0.000 Bi
0.000 0.000 0.000 Pt
0.750 0.250 0.500 Pt
```